{
  "formula": "Zr5Mo",
  "functional": "PBE",
  "state": "relaxed",
  "lattice": [[-1.301, -1.237, 4.648], [-2.204, -4.091, -1.706], [5.551, -0.580, 1.400]],
  "species": ["Mo", "Zr", "Zr", "Zr", "Zr", "Zr"],
  "frac_coords": [[0.000, 0.000, 0.000], [0.500, 0.842, 0.684], [0.000, 0.655, 0.310], [0.500, 0.500, 0.000], [0.000, 0.345, 0.690], [0.500, 0.158, 0.316]],
  "crystal_system": "orthorhombic",
  "spacegroup": "Cmmm",
  "volume_a3_per_cell": 128.1,
  "polymorph_energy_mev_per_atom": 75,
  "total_energy_ev_per_atom": -8.852
}



{
  "formula": "Zr3Mo",
  "functional": "PBE",
  "state": "relaxed",
  "lattice": [[-0.057, -4.781, -0.964], [1.221, -3.202, 3.471], [-3.416, -2.851, 1.999]],
  "species": ["Mo", "Zr", "Zr", "Zr"],
  "frac_coords": [[0.000, 0.000, 0.000], [0.750, 0.750, 0.750], [0.500, 0.500, 0.500], [0.250, 0.250, 0.250]],
  "crystal_system": "cubic",
  "spacegroup": "Fm-3m",
  "volume_a3_per_cell": 82.1,
  "polymorph_energy_mev_per_atom": 112,
  "total_energy_ev_per_atom": -9.014
}